Record 1
Density functional theory data (GGA-PBE) for an optimized crystal structure of Tl3HgBiPb.

abc: 10.093 3.605 10.720
angles: 90.00 108.31 90.00
Sites, in units of the cell vectors:
Tl (0.116, 0.250, 0.298)
Tl (0.130, 0.250, 0.965)
Tl (0.369, 0.750, 0.545)
Tl (0.631, 0.250, 0.455)
Tl (0.870, 0.750, 0.035)
Tl (0.884, 0.750, 0.702)
Hg (0.129, 0.250, 0.624)
Hg (0.871, 0.750, 0.376)
Bi (0.376, 0.750, 0.216)
Bi (0.624, 0.250, 0.784)
Pb (0.379, 0.750, 0.880)
Pb (0.621, 0.250, 0.120)

Results
- SG: P2_1/m
- Formation energy: -0.04 eV/f.u.

***

Record 2
Density functional theory data (GGA-PBE) for an optimized crystal structure of Tl4HgBi2Pb.

abc: 4.824 4.824 11.942
angles: 90.00 90.00 90.00
Sites, in units of the cell vectors:
Tl (0.000, 0.500, 0.185)
Tl (0.000, 0.500, 0.815)
Tl (0.500, 0.000, 0.185)
Tl (0.500, 0.000, 0.815)
Hg (0.000, 0.000, 0.000)
Bi (0.500, 0.500, 0.371)
Bi (0.500, 0.500, 0.629)
Pb (0.000, 0.000, 0.500)

Results
- SG: P4/mmm
- Formation energy: 0.69 eV/f.u.

***

Record 3
Density functional theory data (GGA-PBE) for an optimized crystal structure of Tl3Hg2Bi2Pb4.

abc: 5.591 5.591 13.049
angles: 90.00 90.00 120.00
Sites, in units of the cell vectors:
Tl (0.000, 0.000, 0.000)
Tl (0.000, 0.000, 0.291)
Tl (0.000, 0.000, 0.709)
Hg (0.333, 0.667, 0.667)
Hg (0.667, 0.333, 0.333)
Bi (0.333, 0.667, 0.164)
Bi (0.667, 0.333, 0.836)
Pb (0.333, 0.667, 0.434)
Pb (0.333, 0.667, 0.904)
Pb (0.667, 0.333, 0.096)
Pb (0.667, 0.333, 0.566)

Results
- SG: P-3m1
- Formation energy: 0.30 eV/f.u.

***

Record 4
Density functional theory data (GGA-PBE) for an optimized crystal structure of Tl2Hg2BiPb6.

abc: 6.218 7.526 7.885
angles: 106.65 105.14 96.25
Sites, in units of the cell vectors:
Tl (0.092, 0.314, 0.361)
Tl (0.908, 0.686, 0.639)
Hg (0.269, 0.959, 0.089)
Hg (0.731, 0.041, 0.911)
Bi (0.000, 0.500, 0.000)
Pb (0.190, 0.137, 0.738)
Pb (0.357, 0.773, 0.440)
Pb (0.455, 0.602, 0.823)
Pb (0.545, 0.398, 0.177)
Pb (0.643, 0.227, 0.560)
Pb (0.810, 0.863, 0.262)

Results
- SG: P-1
- Formation energy: 0.11 eV/f.u.